# 1
Material: TaCd2Re
Method: DFT, PBE-GGA
State: optimized geometry

abc: 5.504 5.504 5.504
angles: 144.57 127.60 64.85
Fractional coordinates of all 4 atoms:
Ta: 0.000 0.000 0.000
Cd: 0.274 0.774 0.500
Cd: 0.535 0.535 0.000
Re: 0.798 0.298 0.500

Values from the calculation:
Magnetic moment ... 0.0 μB per formula unit
SG ... Imm2 (44)

=====

# 2
Material: Ta2CdRe2
Method: DFT, PBE-GGA
State: optimized geometry

abc: 6.878 6.878 6.878
angles: 145.53 145.53 49.55
Fractional coordinates of all 5 atoms:
Ta: 0.122 0.122 0.000
Ta: 0.878 0.878 0.000
Cd: 0.500 0.500 0.000
Re: 0.250 0.750 0.500
Re: 0.750 0.250 0.500

Values from the calculation:
Magnetic moment ... 0.0 μB per formula unit
SG ... I4/mmm (139)

=====

# 3
Material: Ta2CdRe
Method: DFT, PBE-GGA
State: optimized geometry

abc: 6.021 6.021 6.021
angles: 102.48 102.48 124.60
Fractional coordinates of all 8 atoms:
Ta: 0.082 0.125 0.457
Ta: 0.375 0.918 0.043
Ta: 0.668 0.625 0.543
Ta: 0.875 0.332 0.957
Cd: 0.250 0.750 0.500
Cd: 0.500 0.500 0.000
Re: 0.000 0.000 0.000
Re: 0.750 0.250 0.500

Values from the calculation:
Magnetic moment ... 0.0 μB per formula unit
SG ... I-42d (122)

=====

# 4
Material: Ta2CdRe
Method: DFT, PBE-GGA
State: optimized geometry

abc: 4.523 4.523 3.434
angles: 90.00 90.00 90.00
Fractional coordinates of all 4 atoms:
Ta: 0.000 0.500 0.000
Ta: 0.500 0.000 0.000
Cd: 0.000 0.000 0.500
Re: 0.500 0.500 0.500

Values from the calculation:
Magnetic moment ... 0.0 μB per formula unit
SG ... P4/mmm (123)

=====

# 5
Material: TaCdRe2
Method: DFT, PBE-GGA
State: optimized geometry

abc: 4.106 4.106 3.931
angles: 90.00 90.00 90.00
Fractional coordinates of all 4 atoms:
Ta: 0.000 0.000 0.000
Cd: 0.500 0.500 0.000
Re: 0.000 0.500 0.500
Re: 0.500 0.000 0.500

Values from the calculation:
Magnetic moment ... 0.0 μB per formula unit
SG ... P4/mmm (123)

=====

# 6
Material: Ta2CdRe
Method: DFT, PBE-GGA
State: optimized geometry

abc: 4.887 4.887 4.887
angles: 128.06 128.06 76.52
Fractional coordinates of all 4 atoms:
Ta: 0.250 0.750 0.500
Ta: 0.750 0.250 0.500
Cd: 0.000 0.000 0.000
Re: 0.500 0.500 0.000

Values from the calculation:
Magnetic moment ... 0.0 μB per formula unit
SG ... I4/mmm (139)

=====

# 7
Material: TaCd2Re
Method: DFT, PBE-GGA
State: optimized geometry

abc: 2.788 4.858 5.509
angles: 90.00 103.69 90.00
Fractional coordinates of all 4 atoms:
Ta: 0.000 0.000 0.000
Cd: 0.304 0.500 0.744
Cd: 0.696 0.500 0.256
Re: 0.500 0.000 0.500

Values from the calculation:
Magnetic moment ... 0.0 μB per formula unit
SG ... P2/m (10)

=====

# 8
Material: Ta2CdRe
Method: DFT, PBE-GGA
State: optimized geometry

abc: 2.787 2.787 9.247
angles: 90.00 90.00 90.00
Fractional coordinates of all 4 atoms:
Ta: 0.000 0.000 0.000
Ta: 0.500 0.500 0.250
Cd: 0.000 0.000 0.513
Re: 0.500 0.500 0.760

Values from the calculation:
Magnetic moment ... 0.0 μB per formula unit
SG ... P4mm (99)

=====

What D(E_F) values result from the calculations? In sequence: 1.75; 4.80; 6.57; 3.15; 2.60; 2.22; 2.37; 4.05 states/eV per cell.
What energy values result from the calculations? In sequence: -24.5; -46.2; -68.3; -36.2; -36.1; -36.1; -24.4; -35.6 eV per cell.
What ΔE_f values result from the calculations? In sequence: 414; 664; 728; 219; 383; 232; 442; 356 meV per atom.